[1]
A plane-wave DFT calculation with PBEsol was carried out for a relaxed Cs2LiSbI6 crystal.

Structure (POSCAR):
```
Cs2LiSbI6
1.0
-2.562 -7.196 3.333
4.704 -3.866 5.691
-2.462 -0.264 7.958
Cs I Li Sb
2 6 1 1
Direct
0.750 0.750 0.750
0.250 0.250 0.250
0.747 0.253 0.253
0.747 0.747 0.253
0.253 0.747 0.747
0.747 0.253 0.747
0.253 0.747 0.253
0.253 0.253 0.747
0.500 0.500 0.500
0.000 0.000 0.000
```

Results
Crystal system ... cubic
Final energy ... -2.8992 eV per atom
N(E_F) ... 0.0 states/eV/cell



[2]
A plane-wave DFT calculation with PBEsol was carried out for a relaxed V8Ni2O15 crystal.

Structure (POSCAR):
```
V8Ni2O15
1.0
4.823 0.000 0.000
-2.412 4.876 0.055
0.000 -1.296 19.873
V Ni O
16 4 30
Direct
0.518 0.543 0.934
0.766 0.055 0.968
0.190 0.862 0.167
0.234 0.945 0.032
0.327 0.138 0.333
0.482 0.457 0.066
0.618 0.738 0.230
0.711 0.945 0.532
0.880 0.262 0.270
0.975 0.457 0.566
0.025 0.543 0.434
0.120 0.738 0.730
0.289 0.055 0.468
0.382 0.262 0.770
0.673 0.862 0.667
0.810 0.138 0.833
0.920 0.328 0.130
0.592 0.672 0.370
0.408 0.328 0.630
0.080 0.672 0.870
0.212 0.259 0.985
0.675 0.212 0.047
0.734 0.323 0.915
0.266 0.677 0.085
0.325 0.788 0.953
0.616 0.062 0.188
0.788 0.741 0.015
0.071 0.000 0.250
0.178 0.139 0.115
0.640 0.458 0.283
0.732 0.618 0.149
0.040 0.861 0.385
0.181 0.542 0.217
0.464 0.788 0.453
0.555 0.938 0.312
0.048 0.259 0.485
0.114 0.382 0.351
0.411 0.677 0.585
0.589 0.323 0.415
0.886 0.618 0.649
0.952 0.741 0.515
0.445 0.062 0.688
0.536 0.212 0.547
0.819 0.458 0.783
0.960 0.139 0.615
0.268 0.382 0.851
0.360 0.542 0.717
0.822 0.861 0.885
0.929 0.000 0.750
0.384 0.938 0.812
```

Results
Crystal system ... monoclinic
Final energy ... -8.8164 eV per atom
N(E_F) ... 24.7 states/eV/cell



[3]
A plane-wave DFT calculation with PBEsol was carried out for a relaxed ScCoC2 crystal.

Structure (POSCAR):
```
ScCoC2
1.0
3.327 0.000 0.000
0.000 3.327 0.000
0.000 0.000 7.112
Sc C Co
2 4 2
Direct
0.500 0.000 0.655
0.000 0.500 0.345
0.000 0.500 0.851
0.500 0.000 0.348
0.500 0.000 0.149
0.000 0.500 0.652
0.500 0.500 0.000
0.000 0.000 0.000
```

Results
Crystal system ... tetragonal
Formation enthalpy at 0 K ... -1.64 eV/f.u.
N(E_F) ... 1.4 states/eV/cell



[4]
A plane-wave DFT calculation with PBEsol was carried out for a relaxed YTe4 crystal.

Structure (POSCAR):
```
YTe4
1.0
6.153 0.000 0.000
-3.076 5.564 0.009
0.000 3.394 5.132
Te Y
4 1
Direct
0.250 0.500 0.250
0.750 0.500 0.750
0.311 0.621 0.689
0.689 0.379 0.311
0.000 0.000 0.000
```

Results
Crystal system ... tetragonal
Final energy ... -4.3414 eV per atom
N(E_F) ... 2.6 states/eV/cell